1.
## Ce5Ga2Hg (PBE)

Data for a relaxed Ce5Ga2Hg crystal.

Values from the calculation:
Fermi-level density of states = 2.99 states/eV/atom
uncorrected energy = -4.782 eV/atom
V = 26.33 Å³/atom

POSCAR file:
```
Ce5Ga2Hg
1.0
-0.586 -2.691 4.329
1.811 -2.659 -4.448
15.954 3.554 4.370
Ce Hg Ga
10 2 4
Direct
0.439 0.878 0.070
0.087 0.174 0.106
0.561 0.122 0.930
0.913 0.826 0.894
0.913 0.826 0.606
0.768 0.535 0.250
0.439 0.878 0.430
0.561 0.122 0.570
0.087 0.174 0.394
0.232 0.465 0.750
0.450 0.901 0.250
0.550 0.099 0.750
0.233 0.466 0.932
0.233 0.466 0.568
0.767 0.534 0.068
0.767 0.534 0.432
```

2.
## Ce6GaHg2 (PBE)

Data for a relaxed Ce6GaHg2 crystal.

Values from the calculation:
Fermi-level density of states = 2.63 states/eV/atom
uncorrected energy = -4.550 eV/atom
V = 23.60 Å³/atom

POSCAR file:
```
Ce6GaHg2
1.0
-2.632 -0.815 -1.208
3.798 -7.553 -3.179
-6.411 -0.765 6.992
Ce Ga Hg
6 1 2
Direct
0.821 0.679 0.679
0.179 0.321 0.321
0.179 0.000 0.321
0.500 0.322 0.000
0.821 0.000 0.679
0.500 0.678 0.000
0.000 0.000 0.000
0.334 0.333 0.666
0.666 0.667 0.334
```

3.
## Ce2GaHg3 (PBE)

Data for a relaxed Ce2GaHg3 crystal.

Values from the calculation:
distance to the lowest polymorph of the same formula = 125 meV per atom
Fermi-level density of states = 2.36 states/eV/atom
uncorrected energy = -2.883 eV/atom
V = 26.17 Å³/atom

POSCAR file:
```
Ce2GaHg3
1.0
4.768 0.000 -1.269
-0.264 3.491 -0.992
-0.094 0.722 9.239
Hg Ce Ga
3 2 1
Direct
0.548 0.548 0.097
0.712 0.712 0.424
0.290 0.790 0.580
0.124 0.124 0.248
0.884 0.384 0.768
0.442 0.942 0.883
```

4.
## Ce7GaHg3 (PBE)

Data for a relaxed Ce7GaHg3 crystal.

Values from the calculation:
Fermi-level density of states = 3.07 states/eV/atom
uncorrected energy = -4.279 eV/atom
V = 27.78 Å³/atom

POSCAR file:
```
Ce7GaHg3
1.0
5.614 -0.294 -0.376
-2.838 7.507 0.836
-2.838 -1.008 7.486
Ga Ce Hg
1 7 3
Direct
0.500 0.500 0.500
0.224 0.206 0.206
0.291 0.569 0.072
0.776 0.794 0.794
0.709 0.928 0.431
0.709 0.431 0.928
0.291 0.072 0.569
0.000 0.500 0.500
0.000 0.219 0.781
0.500 0.000 0.000
0.000 0.781 0.219
```

5.
## Ce2Ga2Hg (PBE)

Data for a relaxed Ce2Ga2Hg crystal.

Values from the calculation:
Fermi-level density of states = 2.28 states/eV/atom
uncorrected energy = -4.088 eV/atom
V = 23.71 Å³/atom

POSCAR file:
```
Ce2Ga2Hg
1.0
-1.643 -2.459 -1.701
3.663 -2.475 0.041
-4.078 -1.974 6.793
Ga Ce Hg
2 2 1
Direct
0.000 0.794 0.588
0.000 0.206 0.412
0.500 0.621 0.243
0.500 0.379 0.757
0.000 0.000 0.000
```

6.
## Ce2Ga2Hg (PBE)

Data for a relaxed Ce2Ga2Hg crystal.

Values from the calculation:
Fermi-level density of states = 2.14 states/eV/atom
uncorrected energy = -4.089 eV/atom
V = 24.38 Å³/atom

POSCAR file:
```
Ce2Ga2Hg
1.0
-0.273 4.607 0.053
-2.953 2.082 4.758
7.796 2.712 5.422
Ce Ga Hg
4 4 2
Direct
0.491 0.692 0.325
0.509 0.308 0.675
0.321 0.263 0.094
0.679 0.737 0.906
0.973 0.164 0.889
0.027 0.836 0.111
0.869 0.694 0.568
0.131 0.306 0.432
0.222 0.903 0.652
0.778 0.097 0.348
```

7.
## Ce5Ga4Hg (PBE)

Data for a relaxed Ce5Ga4Hg crystal.

Values from the calculation:
Fermi-level density of states = 1.61 states/eV/atom
uncorrected energy = -4.667 eV/atom
V = 23.29 Å³/atom

POSCAR file:
```
Ce5Ga4Hg
1.0
3.266 0.000 0.000
0.000 3.266 0.000
0.000 0.000 21.832
Ce Hg Ga
5 1 4
Direct
0.500 0.500 0.500
0.500 0.500 0.110
0.500 0.500 0.696
0.500 0.500 0.890
0.500 0.500 0.304
0.000 0.000 0.000
0.000 0.000 0.206
0.000 0.000 0.794
0.000 0.000 0.402
0.000 0.000 0.598
```

8.
## Ce3Ga3Hg (PBE)

Data for a relaxed Ce3Ga3Hg crystal.

Values from the calculation:
Fermi-level density of states = 2.15 states/eV/atom
uncorrected energy = -4.331 eV/atom
V = 24.66 Å³/atom

POSCAR file:
```
Ce3Ga3Hg
1.0
-1.596 -0.841 -4.176
4.384 -1.207 -3.910
-1.139 -13.815 0.740
Ga Ce Hg
6 6 2
Direct
0.973 0.828 0.226
0.027 0.172 0.774
0.121 0.304 0.453
0.106 0.861 0.927
0.894 0.139 0.073
0.879 0.696 0.547
0.606 0.712 0.077
0.394 0.288 0.923
0.471 0.683 0.376
0.262 0.259 0.217
0.738 0.741 0.783
0.529 0.317 0.624
0.758 0.090 0.394
0.242 0.910 0.606
```

9.
## Ce8GaHg2 (PBE)

Data for a relaxed Ce8GaHg2 crystal.

Values from the calculation:
distance to the lowest polymorph of the same formula = 19 meV per atom
Fermi-level density of states = 2.86 states/eV/atom
uncorrected energy = -4.735 eV/atom
V = 25.94 Å³/atom

POSCAR file:
```
Ce8GaHg2
1.0
-0.794 4.440 -2.740
7.862 -1.750 -5.115
-6.627 -4.227 0.152
Ce Ga Hg
8 1 2
Direct
0.818 0.818 0.636
0.657 0.885 0.314
0.000 0.205 0.000
0.182 0.182 0.364
0.343 0.115 0.686
0.000 0.795 0.000
0.657 0.428 0.313
0.343 0.572 0.687
0.500 0.000 0.000
0.145 0.645 0.291
0.855 0.355 0.709
```

10.
## Ce6Ga5Hg (PBE)

Data for a relaxed Ce6Ga5Hg crystal.

Values from the calculation:
Fermi-level density of states = 1.74 states/eV/atom
uncorrected energy = -4.704 eV/atom
V = 23.12 Å³/atom

POSCAR file:
```
Ce6Ga5Hg
1.0
-2.775 -0.797 3.561
-5.003 0.004 -6.848
5.144 -6.727 -0.448
Ga Hg Ce
5 1 6
Direct
0.000 0.331 0.669
0.500 0.500 0.500
0.000 0.669 0.331
0.500 0.834 0.166
0.500 0.166 0.834
0.000 0.000 0.000
0.239 0.739 0.739
0.255 0.425 0.086
0.761 0.261 0.261
0.255 0.086 0.425
0.745 0.914 0.575
0.745 0.575 0.914
```

11.
## Ce3Ga2Hg3 (PBE)

Data for a relaxed Ce3Ga2Hg3 crystal.

Values from the calculation:
Fermi-level density of states = 2.36 states/eV/atom
uncorrected energy = -3.430 eV/atom
V = 25.74 Å³/atom

POSCAR file:
```
Ce3Ga2Hg3
1.0
3.458 0.000 0.000
0.000 7.181 -4.146
0.000 0.000 8.292
Ce Ga Hg
3 2 3
Direct
0.500 0.651 0.000
0.500 0.349 0.349
0.500 0.000 0.651
0.000 0.333 0.667
0.000 0.667 0.333
0.000 0.000 0.304
0.000 0.696 0.696
0.000 0.304 0.000
```

12.
## Ce3Ga4Hg2 (PBE)

Data for a relaxed Ce3Ga4Hg2 crystal.

Values from the calculation:
Fermi-level density of states = 1.85 states/eV/atom
uncorrected energy = -3.846 eV/atom
V = 23.36 Å³/atom

POSCAR file:
```
Ce3Ga4Hg2
1.0
-3.247 -2.739 1.784
5.419 -1.068 2.274
-3.580 6.954 4.158
Ga Ce Hg
4 3 2
Direct
0.930 0.860 0.592
0.281 0.563 0.954
0.070 0.140 0.408
0.719 0.437 0.046
0.350 0.700 0.320
0.650 0.300 0.680
0.000 0.000 0.000
0.646 0.292 0.308
0.354 0.708 0.692
```